Record 1
# LiInSe (PBE, optimized geometry)
# Raw formation energy = -0.51 eV per atom
# Fermi-level density of states = 0.1 states/eV/f.u.
data_LiInSe
_cell_length_a 3.596
_cell_length_b 3.596
_cell_length_c 11.750
_cell_angle_alpha 90.00
_cell_angle_beta 90.00
_cell_angle_gamma 90.00
_space_group_name_H-M_alt 'I 4 m m'
_space_group_IT_number 107
_space_group_name_Hall 'I 4 -2'
loop_
_atom_site_label
_atom_site_fract_x
_atom_site_fract_y
_atom_site_fract_z
_atom_site_occupancy
Li1 0.000 0.000 0.000 1
In1 0.000 0.000 0.243 1
Se1 0.000 0.000 0.593 1

Record 2
# LiMg2Rh2 (PBE, optimized geometry)
# Energy relative to the elements = -0.25 eV per atom
# Fermi-level density of states = 2.1 states/eV/f.u.
data_LiMg2Rh2
_cell_length_a 7.189
_cell_length_b 7.189
_cell_length_c 3.138
_cell_angle_alpha 90.00
_cell_angle_beta 90.00
_cell_angle_gamma 90.00
_space_group_name_H-M_alt 'P 4/m b m'
_space_group_IT_number 127
_space_group_name_Hall '-P 4 2ab'
loop_
_atom_site_label
_atom_site_fract_x
_atom_site_fract_y
_atom_site_fract_z
_atom_site_occupancy
Li1 0.000 0.000 0.000 1
Mg1 0.145 0.355 0.000 1
Rh1 0.151 0.651 0.500 1

| no. | offset from the most stable computed form (meV per atom) |
| --- | --- |
| 1 | 150.0 |
| 2 | 48.9 |